# PmSm3Zn2 (PBE-GGA, relaxed)
data_PmSm3Zn2
_chemical_formula_sum 'Pm1 Sm3 Zn2'
_space_group_name_H-M_alt 'P 4/m m m'
_space_group_IT_number 123
_space_group_name_Hall '-P 4 2'
_cell_length_a 3.644
_cell_length_b 3.644
_cell_length_c 12.411
_cell_angle_alpha 90.00
_cell_angle_beta 90.00
_cell_angle_gamma 90.00
loop_
_atom_site_label
_atom_site_type_symbol
_atom_site_fract_x
_atom_site_fract_y
_atom_site_fract_z
Pm1 Pm 0.000 0.000 0.000
Sm1 Sm 0.500 0.500 0.210
Sm2 Sm 0.500 0.500 0.500
Zn1 Zn 0.000 0.000 0.355
# formation energy from the elements: -215 meV per atom
# E_tot: -3.7905 eV/atom

---

# Nb2Pt9Rh (PBE-GGA, relaxed)
data_Nb2Pt9Rh
_chemical_formula_sum 'Nb2 Pt9 Rh1'
_space_group_name_H-M_alt 'P 4/m m m'
_space_group_IT_number 123
_space_group_name_Hall '-P 4 2'
_cell_length_a 3.990
_cell_length_b 3.990
_cell_length_c 11.915
_cell_angle_alpha 90.00
_cell_angle_beta 90.00
_cell_angle_gamma 90.00
loop_
_atom_site_label
_atom_site_type_symbol
_atom_site_fract_x
_atom_site_fract_y
_atom_site_fract_z
Nb1 Nb 0.000 0.000 0.175
Pt1 Pt 0.000 0.500 0.000
Pt2 Pt 0.000 0.500 0.330
Pt3 Pt 0.500 0.500 0.165
Pt4 Pt 0.500 0.500 0.500
Rh1 Rh 0.000 0.000 0.500
# formation energy from the elements: -440 meV per atom
# E_tot: -7.2618 eV/atom

---

# Ca2ScSi2 (PBE-GGA, relaxed)
data_Ca2ScSi2
_chemical_formula_sum 'Ca4 Sc2 Si4'
_space_group_name_H-M_alt 'P 4/m b m'
_space_group_IT_number 127
_space_group_name_Hall '-P 4 2ab'
_cell_length_a 7.232
_cell_length_b 7.232
_cell_length_c 4.568
_cell_angle_alpha 90.00
_cell_angle_beta 90.00
_cell_angle_gamma 90.00
loop_
_atom_site_label
_atom_site_type_symbol
_atom_site_fract_x
_atom_site_fract_y
_atom_site_fract_z
Ca1 Ca 0.173 0.327 0.000
Sc1 Sc 0.000 0.000 0.500
Si1 Si 0.121 0.621 0.500
# uncorrected formation energy: -0.469 eV/atom
# E_tot: -4.7047 eV/atom